4
Lattice="-0.931 -1.559 2.734 -2.467 -1.924 -1.937 3.080 -2.011 -0.098" Properties=species:S:1:pos:R:3 comment="ScNiC2 PBE optimized geometry" space_group="No. 38" formation_energy_ev_per_atom=-0.29 crystal_system=orthorhombic pbc="T T T"
Sc -2.448 -1.924 -1.931
Ni 0.479 -2.757 0.561
C -1.170 -3.332 -0.329
C -1.358 -2.127 0.295

=====

18
Lattice="-1.420 2.810 0.084 -5.128 -2.691 3.295 4.452 1.994 8.559" Properties=species:S:1:pos:R:3 comment="ScNiC PBE optimized geometry" e_above_lowest_polymorph_ev_per_atom=0.0000 space_group="No. 51" formation_energy_ev_per_atom=-0.28 crystal_system=orthorhombic pbc="T T T"
C -1.588 -0.919 3.875
C 1.078 2.197 3.759
Sc 3.053 1.273 9.001
Ni -3.801 -0.303 4.883
Ni -2.542 0.398 2.732
Sc 1.183 0.436 5.406
Sc 0.399 0.124 2.599
Ni 0.446 1.715 9.205
Ni -1.496 0.867 4.744
C 0.912 0.222 7.978
C -3.174 -0.084 8.178
Ni -0.600 1.246 7.194
Sc -1.859 -1.133 6.447
Sc -1.075 -0.821 9.255
C -1.606 0.618 11.193
C -0.490 1.495 0.744
Ni 1.705 2.415 7.055
Sc -3.729 -1.970 2.852

=====

8
Lattice="-1.988 0.952 4.537 -5.008 0.076 0.594 -2.288 -3.974 2.636" Properties=species:S:1:pos:R:3 comment="ScNi6C PBE optimized geometry" space_group="No. 166" formation_energy_ev_per_atom=-0.09 crystal_system=trigonal pbc="T T T"
Ni -1.215 -0.835 1.116
Ni -7.125 -2.563 4.497
Ni -2.158 -0.383 3.269
Ni -8.068 -2.111 6.650
C 0.000 0.000 0.000
Sc -4.642 -1.473 3.883
Ni -3.591 -0.799 1.398
Ni -5.692 -2.147 6.368

=====

7
Lattice="3.420 0.000 0.000 0.000 3.424 0.000 0.000 -1.712 5.892" Properties=species:S:1:pos:R:3 comment="ScNi4C2 PBE optimized geometry" space_group="No. 65" formation_energy_ev_per_atom=-0.13 crystal_system=orthorhombic pbc="T T T"
Ni 0.000 0.000 3.906
Ni 0.000 1.712 1.986
C 1.710 1.712 0.733
Ni 1.710 0.000 2.023
Ni 1.710 1.712 3.869
Sc 0.000 0.000 0.000
C 1.710 0.000 5.159

=====

5
Lattice="4.467 0.000 0.000 0.000 4.467 0.000 0.000 0.000 3.766" Properties=species:S:1:pos:R:3 comment="Sc2SiNiC PBE optimized geometry" space_group="No. 123" formation_energy_uncorrected_ev_per_atom=-0.448 crystal_system=tetragonal pbc="T T T"
Si 2.233 2.233 1.883
Sc 0.000 2.233 0.000
Sc 2.233 0.000 0.000
Ni 0.000 0.000 1.883
C 0.000 0.000 0.000

=====

5
Lattice="4.486 0.000 0.000 0.000 4.486 0.000 0.000 0.000 3.904" Properties=species:S:1:pos:R:3 comment="Sc2TcNiC PBE optimized geometry" space_group="No. 123" formation_energy_ev_per_atom=-0.24 crystal_system=tetragonal pbc="T T T"
Tc 0.000 0.000 1.952
C 0.000 0.000 0.000
Sc 2.243 0.000 0.000
Ni 2.243 2.243 1.952
Sc 0.000 2.243 0.000